A plane-wave DFT calculation with PBE with a Hubbard U was carried out for crystalline MnCdTeO6 at its relaxed geometry.

```
18
Lattice="5.134 0.000 0.000 -2.567 4.447 0.000 0.000 0.000 9.865" Properties=species:S:1:pos:R:3 pbc="T T T"
Mn 0.000 2.964 2.466
Mn 2.567 1.482 7.399
Cd 0.000 0.000 0.000
Cd 0.000 0.000 4.932
Te 0.000 2.964 7.399
Te 2.567 1.482 2.466
O -0.941 1.654 1.394
O -1.605 2.805 3.538
O 0.941 1.654 3.538
O -0.664 4.434 1.394
O 1.903 0.012 6.327
O 0.962 1.642 8.471
O 1.605 2.805 1.394
O 0.664 4.434 3.538
O 3.232 0.012 8.471
O 1.626 2.793 6.327
O 4.172 1.642 6.327
O 3.508 2.793 8.471
```

Electronic total energy   -5.774 eV per atom
D(E_F)   0.000 states/eV/atom
SG   P-31c
Size of the total moment   0.330 μB/atom